Density functional theory data (PBE-GGA) for a geometry-optimized HPtPb2 structure.

Summary:
* volume: 22.4 Å³/atom
* D(E_F): 0.255 states/eV per atom
* energy above the most stable polymorph in this dataset: 0 meV per atom
* DFT total energy: -17.11 eV/f.u.

Unit cell a=3.4994 b=8.1547 c=6.2739 alpha=90.00 beta=90.00 gamma=90.00
With the nearest neighbours (Å) after each atom.
Space group Pmmn (No. 59, origin choice 2)
Asymmetric unit:
H: 0.2500 0.2500 0.0112 x2  2 Pt 1.79
Pt: 0.2500 0.7500 0.9276 x2  2 H 1.79
Pb: 0.2500 0.5050 0.2584 x4  1 H 2.59, 1 Pt 2.88

Density functional theory data (PBE-GGA) for a geometry-optimized BaOsO3F structure.

Summary:
* volume: 18.0 Å³/atom
* D(E_F): 0.083 states/eV per atom
* raw formation energy: -1.84 eV per atom
* DFT total energy: -40.93 eV/f.u.

Unit cell a=8.3969 b=12.0568 c=4.5862 alpha=90.00 beta=111.54 gamma=90.00
With the nearest neighbours (Å) after each atom.
Space group C2/c (No. 15)
Asymmetric unit:
Ba: 0.0000 0.1486 0.2500 x4  3 F 2.50-2.58
Os: 0.0000 0.4497 0.7500 x4  3 O 1.80-1.99
O: 0.0000 0.3006 0.7500 x4  1 Os 1.80
O: 0.1553 0.4329 0.5053 x8  2 Os 1.99-2.02
F: 0.0000 0.0653 0.7500 x4  3 Ba 2.50-2.58, 2 F 2.78

Density functional theory data (PBE-GGA) for a geometry-optimized ZrScSi structure.

Summary:
* volume: 20.6 Å³/atom
* D(E_F): 0.526 states/eV per atom
* raw formation energy: -0.45 eV per atom
* DFT total energy: -21.65 eV/f.u.

Unit cell a=7.8073 b=4.4998 c=7.5041 alpha=90.00 beta=110.27 gamma=90.00
With the nearest neighbours (Å) after each atom.
Space group C2/m (No. 12)
Asymmetric unit:
Zr: 0.2107 0.0000 0.1331 x4  4 Si 2.77-2.83
Sc: 0.1318 0.5000 0.3960 x4  3 Si 2.75, 3 Sc 2.98
Si: 0.0772 0.0000 0.7306 x4  3 Sc 2.75, 4 Zr 2.77-2.83